First-principles (GGA-PBE) data for crystalline Ba3In2Pt4Pb2 at its relaxed geometry, as listed in the Alexandria database.

Properties
**Spin magnetization**: 0.000 μB/f.u.
**E_form**: -0.546 eV/atom
**Energy**: -48.83 eV per cell
**Crystal system**: trigonal

Cell lengths 4.7556, 4.7556, 16.7467 Å; angles 90.00, 90.00, 120.00 degrees
Closest atoms and distances in Å follow each position.
Space group P-3m1 (No. 164)
Symmetry-distinct sites (fractional):
Ba (0.0000, 0.0000, 0.0000) x1  6 Pt 3.55, 6 In 3.61
Ba (0.0000, 0.0000, 0.2780) x2  6 Pt 3.39-3.66, 3 In 3.59, 3 Pb 3.78
In (0.3333, 0.6667, 0.1396) x2  3 Pt 2.75
Pt (0.3333, 0.6667, 0.3969) x2  4 Pb 2.81-2.84
Pt (0.3333, 0.6667, 0.8661) x2  3 In 2.75
Pb (0.3333, 0.6667, 0.5667) x2  4 Pt 2.81-2.84